Record 1
Here is a relaxed structure of AcGaNiI from Alexandria. Energies are from PBE-GGA.

The energy relative to the elements, uncorrected comes out at -0.74 eV/atom. For the size of the total moment, the calculation gives 0.00 μB/cell.

Lattice parameters (Å, degrees): 15.0557 15.0557 15.0557 16.74 16.74 16.74
With the nearest neighbours (Å) after each atom.
Atoms (fractional coordinates):
Ac  0.0698  0.0698  0.0698  3 Ni 3.06, 3 Ga 3.31
Ac  0.9302  0.9302  0.9302  3 Ni 3.06, 3 Ga 3.31
Ga  0.3114  0.3114  0.3114  4 Ni 2.36-2.56
Ga  0.6886  0.6886  0.6886  4 Ni 2.36-2.56
Ni  0.3644  0.3644  0.3644  4 Ga 2.36-2.56
Ni  0.6355  0.6355  0.6355  4 Ga 2.36-2.56
I  0.2116  0.2116  0.2116  3 Ac 3.43
I  0.7884  0.7884  0.7884  3 Ac 3.43

---

Record 2
Here is a relaxed structure of TlAgOsCl6 from Alexandria. Energies are from PBE-GGA.

The energy relative to the elements, uncorrected comes out at -0.56 eV/atom. For the size of the total moment, the calculation gives 2.00 μB/cell.

Lattice parameters (Å, degrees): 6.8477 6.8477 6.6373 90.00 90.00 120.00
With the nearest neighbours (Å) after each atom.
Atoms (fractional coordinates):
Tl  0.0000  0.0000  0.0000  6 Cl 3.22
Ag  0.3333  0.6667  0.5000  6 Cl 2.77
Os  0.6667  0.3333  0.5000  6 Cl 2.35
Cl  0.3926  0.0455  0.7028  1 Os 2.35
Cl  0.3926  0.3471  0.2972  1 Os 2.35
Cl  0.6529  0.0455  0.2972  1 Os 2.35
Cl  0.6529  0.6074  0.7028  1 Os 2.35
Cl  0.9545  0.3471  0.7028  1 Os 2.35
Cl  0.9545  0.6074  0.2972  1 Os 2.35

---

Record 3
Here is a relaxed structure of La8SnRh3I4 from Alexandria. Energies are from PBE-GGA.

The energy relative to the elements, uncorrected comes out at -0.97 eV/atom. For the size of the total moment, the calculation gives 0.00 μB/cell.

Lattice parameters (Å, degrees): 8.7608 8.7608 9.5950 117.19 117.19 59.92
With the nearest neighbours (Å) after each atom.
Atoms (fractional coordinates):
La  0.2055  0.7433  0.6905  2 Rh 2.89-2.90, 1 Sn 3.13
La  0.2316  0.2316  0.6927  3 Rh 2.97-2.99
La  0.2574  0.2574  0.3097  2 Rh 2.89, 1 Sn 3.13
La  0.2567  0.7945  0.3095  2 Rh 2.89-2.90, 1 Sn 3.13
La  0.7433  0.2055  0.6905  2 Rh 2.89-2.90, 1 Sn 3.13
La  0.7426  0.7426  0.6903  2 Rh 2.89, 1 Sn 3.13
La  0.7684  0.7684  0.3073  3 Rh 2.97-2.99
La  0.7945  0.2567  0.3095  2 Rh 2.89-2.90, 1 Sn 3.13
Sn  0.5000  0.5000  0.5000  6 La 3.13
Rh  0.0000  0.0000  0.5000  6 La 2.89-2.99
Rh  0.0000  0.5000  0.5000  6 La 2.89-2.97
Rh  0.5000  0.0000  0.5000  6 La 2.89-2.97
I  0.0000  0.0000  0.0000  6 La 3.44
I  0.0000  0.5000  0.0000  6 La 3.56-3.64
I  0.5000  0.0000  0.0000  6 La 3.56-3.64
I  0.5000  0.5000  0.0000  6 La 3.55-3.65

---

Record 4
Here is a relaxed structure of CeV6Ge6 from Alexandria. Energies are from PBE-GGA.

Its formation enthalpy at 0 K is -411 meV/atom. For the size of the total moment, the calculation gives 0.00 μB/cell.

Lattice parameters (Å, degrees): 5.2762 5.2762 8.4673 90.00 90.00 120.00
With the nearest neighbours (Å) after each atom.
Atoms (fractional coordinates):
Ce  0.0000  0.0000  0.0000  8 Ge 2.94-3.05
V  0.0000  0.5000  0.2505  6 Ge 2.60-2.76, 4 V 2.64
V  0.0000  0.5000  0.7495  6 Ge 2.60-2.76, 4 V 2.64
V  0.5000  0.0000  0.2505  6 Ge 2.60-2.76, 4 V 2.64
V  0.5000  0.0000  0.7495  6 Ge 2.60-2.76, 4 V 2.64
V  0.5000  0.5000  0.2505  6 Ge 2.60-2.76, 4 V 2.64
V  0.5000  0.5000  0.7495  6 Ge 2.60-2.76, 4 V 2.64
Ge  0.0000  0.0000  0.3467  1 Ge 2.60, 6 V 2.76
Ge  0.0000  0.0000  0.6533  1 Ge 2.60, 6 V 2.76
Ge  0.3333  0.6667  0.0000  6 V 2.61
Ge  0.3333  0.6667  0.5000  6 V 2.60
Ge  0.6667  0.3333  0.0000  6 V 2.61
Ge  0.6667  0.3333  0.5000  6 V 2.60

---

Record 5
Here is a relaxed structure of Ho5Tl4Pt from Alexandria. Energies are from PBE-GGA.

Its formation enthalpy at 0 K is -531 meV/atom. For the size of the total moment, the calculation gives 0.13 μB/cell.

Lattice parameters (Å, degrees): 3.5609 3.5609 20.3615 90.00 90.00 90.00
With the nearest neighbours (Å) after each atom.
Atoms (fractional coordinates):
Ho  0.0000  0.0000  0.0000  8 Tl 3.29, 4 Ho 3.56
Ho  0.0000  0.0000  0.2086  8 Tl 3.27-3.30, 4 Ho 3.56
Ho  0.0000  0.0000  0.4182  4 Pt 3.02, 1 Ho 3.33, 4 Tl 3.33
Ho  0.0000  0.0000  0.5818  4 Pt 3.02, 1 Ho 3.33, 4 Tl 3.33
Ho  0.0000  0.0000  0.7914  8 Tl 3.27-3.30, 4 Ho 3.56
Tl  0.5000  0.5000  0.1041  8 Ho 3.29-3.30, 4 Tl 3.56
Tl  0.5000  0.5000  0.3111  8 Ho 3.27-3.33, 4 Tl 3.56
Tl  0.5000  0.5000  0.6889  8 Ho 3.27-3.33, 4 Tl 3.56
Tl  0.5000  0.5000  0.8959  8 Ho 3.29-3.30, 4 Tl 3.56
Pt  0.5000  0.5000  0.5000  8 Ho 3.02

---

Record 6
Here is a relaxed structure of NaZnCuSe2 from Alexandria. Energies are from PBE-GGA.

The energy relative to the elements, uncorrected comes out at -0.59 eV/atom. For the size of the total moment, the calculation gives 0.00 μB/cell.

Lattice parameters (Å, degrees): 6.6679 5.2370 6.7970 90.00 102.05 90.00
With the nearest neighbours (Å) after each atom.
Atoms (fractional coordinates):
Na  0.0000  0.1838  0.2500  6 Se 2.98-3.30
Na  0.0000  0.8162  0.7500  6 Se 2.98-3.30
Zn  0.5000  0.4887  0.2500  4 Se 2.54-2.57
Zn  0.5000  0.5113  0.7500  4 Se 2.54-2.57
Cu  0.5000  0.0000  0.0000  2 Se 2.26
Cu  0.5000  0.0000  0.5000  2 Se 2.26
Se  0.2532  0.3037  0.9482  1 Cu 2.26
Se  0.2532  0.6963  0.4482  1 Cu 2.26
Se  0.7468  0.3037  0.5518  1 Cu 2.26
Se  0.7468  0.6963  0.0518  1 Cu 2.26

---

Record 7
Here is a relaxed structure of LiMg3Hg4 from Alexandria. Energies are from PBE-GGA.

Its formation enthalpy at 0 K is -255 meV/atom. For the size of the total moment, the calculation gives 0.00 μB/cell.

Lattice parameters (Å, degrees): 3.5337 3.5337 13.2901 90.00 90.00 90.00
With the nearest neighbours (Å) after each atom.
Atoms (fractional coordinates):
Li  0.0000  0.0000  0.0000  8 Hg 2.93, 2 Mg 3.25
Mg  0.0000  0.0000  0.2448  8 Hg 3.02-3.03, 1 Li 3.25
Mg  0.0000  0.0000  0.5000  8 Hg 3.02
Mg  0.0000  0.0000  0.7552  8 Hg 3.02-3.03, 1 Li 3.25
Hg  0.5000  0.5000  0.1158  4 Li 2.93, 4 Mg 3.03, 1 Hg 3.08
Hg  0.5000  0.5000  0.3730  8 Mg 3.02, 1 Hg 3.38
Hg  0.5000  0.5000  0.6270  8 Mg 3.02, 1 Hg 3.38
Hg  0.5000  0.5000  0.8842  4 Li 2.93, 4 Mg 3.03, 1 Hg 3.08

---

Record 8
Here is a relaxed structure of TbPm3Pr2S6 from Alexandria. Energies are from PBE-GGA.

The energy relative to the elements, uncorrected comes out at -2.03 eV/atom. For the size of the total moment, the calculation gives 0.00 μB/cell.

Lattice parameters (Å, degrees): 7.0079 7.0079 6.9883 99.60 99.60 120.14
With the nearest neighbours (Å) after each atom.
Atoms (fractional coordinates):
Tb  0.0000  0.0000  0.0000  6 S 2.80-2.81
Pm  0.1708  0.8292  0.5000  6 S 2.83-2.88
Pm  0.5000  0.5000  0.5000  6 S 2.83-2.90
Pm  0.8292  0.1708  0.5000  6 S 2.83-2.88
Pr  0.3330  0.6670  0.0000  6 S 2.88-2.90
Pr  0.6670  0.3330  0.0000  6 S 2.88-2.90
S  0.0830  0.4070  0.2495  1 Tb 2.80, 3 Pm 2.83-2.88, 2 Pr 2.88
S  0.2393  0.2393  0.7470  1 Tb 2.81, 3 Pm 2.86-2.90, 2 Pr 2.90
S  0.4070  0.0830  0.2495  1 Tb 2.80, 3 Pm 2.83-2.88, 2 Pr 2.88
S  0.5930  0.9170  0.7505  1 Tb 2.80, 3 Pm 2.83-2.88, 2 Pr 2.88
S  0.7607  0.7607  0.2530  1 Tb 2.81, 3 Pm 2.86-2.90, 2 Pr 2.90
S  0.9170  0.5930  0.7505  1 Tb 2.80, 3 Pm 2.83-2.88, 2 Pr 2.88

---

Q: What is the size of the total moment in the third record?
A: 0.00 μB/cell

---

Q: Look up the size of the total moment of the seventh one.
A: 0.00 μB/cell